{
  "formula": "Y2MnMo",
  "functional": "PBE-GGA",
  "state": "optimized geometry",
  "relative_energy_mev_per_atom": 160,
  "mass_density_g_cm3": 6.05,
  "formation_energy_ev_per_atom": 0.33,
  "space_group": "Pm (6)",
  "lattice_angstrom": [[3.263, 0.000, 0.000], [0.000, 3.908, 0.000], [-1.281, 0.000, 7.071]],
  "species": ["Y", "Y", "Mn", "Mo"],
  "fractional_positions": [[0.000, 0.000, 0.000], [0.335, 0.500, 0.620], [0.501, 0.500, 0.236], [0.789, 0.000, 0.374]]
}